[1]
Crystalline Na4SnPb at its relaxed geometry. Source: Alexandria via LeMat-Bulk, functional PBE-GGA.

Geometry as CIF:
```
data_Na4SnPb
_chemical_formula_sum 'Na16 Sn4 Pb4'
_space_group_name_H-M_alt 'C 1 2/m 1'
_space_group_IT_number 12
_cell_length_a 16.8464
_cell_length_b 8.4697
_cell_length_c 5.6507
_cell_angle_alpha 90.00
_cell_angle_beta 108.28
_cell_angle_gamma 90.00
loop_
_space_group_symop_operation_xyz
'x,y,z'
'-x,-y,-z'
'-x,y,-z'
'x,-y,z'
'x+1/2,y+1/2,z'
'-x+1/2,-y+1/2,-z'
'-x+1/2,y+1/2,-z'
'x+1/2,-y+1/2,z'
loop_
_atom_site_label
_atom_site_type_symbol
_atom_site_fract_x
_atom_site_fract_y
_atom_site_fract_z
Na1 Na 0.0000 0.1735 0.0000
Na2 Na 0.1443 0.2327 0.6423
Na3 Na 0.1869 0.5000 0.2085
Sn1 Sn 0.0188 0.5000 0.7600
Pb1 Pb 0.1920 0.0000 0.1839
```

Properties
VASP energy   -2.24 eV/atom
Formation energy   -0.074 eV/atom
Total magnetic moment   0.00 μB per cell
Excess energy over the best structure of this formula in the dataset   0.061 eV per atom

[2]
Crystalline PuCuPt4 at its relaxed geometry. Source: Alexandria via LeMat-Bulk, functional PBE-GGA.

Geometry as CIF:
```
data_PuCuPt4
_chemical_formula_sum 'Pu4 Cu4 Pt16'
_space_group_name_H-M_alt 'F -4 3 m'
_space_group_IT_number 216
_space_group_name_Hall 'F -4 2 3'
_cell_length_a 7.5403
_cell_length_b 7.5403
_cell_length_c 7.5403
_cell_angle_alpha 90.00
_cell_angle_beta 90.00
_cell_angle_gamma 90.00
loop_
_atom_site_label
_atom_site_type_symbol
_atom_site_fract_x
_atom_site_fract_y
_atom_site_fract_z
Pu1 Pu 0.0000 0.0000 0.0000
Cu1 Cu 0.2500 0.2500 0.7500
Pt1 Pt 0.1244 0.1244 0.3756
```

Properties
VASP energy   -7.56 eV/atom
Formation energy   -0.460 eV/atom
Total magnetic moment   16.08 μB per cell

[3]
Crystalline CeDyHgOs at its relaxed geometry. Source: Alexandria via LeMat-Bulk, functional PBE-GGA.

Geometry as CIF:
```
data_CeDyHgOs
_chemical_formula_sum 'Ce1 Dy1 Hg1 Os1'
_space_group_name_H-M_alt 'P 4 m m'
_space_group_IT_number 99
_cell_length_a 3.3725
_cell_length_b 3.3725
_cell_length_c 8.2052
_cell_angle_alpha 90.00
_cell_angle_beta 90.00
_cell_angle_gamma 90.00
loop_
_space_group_symop_operation_xyz
'x,y,z'
'-y,x,z'
'-x,-y,z'
'y,-x,z'
'-x,y,z'
'y,x,z'
'x,-y,z'
'-y,-x,z'
loop_
_atom_site_label
_atom_site_type_symbol
_atom_site_fract_x
_atom_site_fract_y
_atom_site_fract_z
Ce1 Ce 0.0000 0.0000 0.0000
Dy1 Dy 0.0000 0.0000 0.4258
Hg1 Hg 0.5000 0.5000 0.7005
Os1 Os 0.5000 0.5000 0.2131
```

Properties
VASP energy   -5.85 eV/atom
Formation energy   -0.333 eV/atom
Total magnetic moment   0.00 μB per cell
Excess energy over the best structure of this formula in the dataset   0.000 eV per atom

Which of these has the lowest formation energy? PuCuPt4

Among the records above, which one has the highest total magnetic moment? PuCuPt4

Repeat the third record exactly.
Crystalline CeDyHgOs at its relaxed geometry. Source: Alexandria via LeMat-Bulk, functional PBE-GGA.

Geometry as CIF:
```
data_CeDyHgOs
_chemical_formula_sum 'Ce1 Dy1 Hg1 Os1'
_space_group_name_H-M_alt 'P 4 m m'
_space_group_IT_number 99
_cell_length_a 3.3725
_cell_length_b 3.3725
_cell_length_c 8.2052
_cell_angle_alpha 90.00
_cell_angle_beta 90.00
_cell_angle_gamma 90.00
loop_
_space_group_symop_operation_xyz
'x,y,z'
'-y,x,z'
'-x,-y,z'
'y,-x,z'
'-x,y,z'
'y,x,z'
'x,-y,z'
'-y,-x,z'
loop_
_atom_site_label
_atom_site_type_symbol
_atom_site_fract_x
_atom_site_fract_y
_atom_site_fract_z
Ce1 Ce 0.0000 0.0000 0.0000
Dy1 Dy 0.0000 0.0000 0.4258
Hg1 Hg 0.5000 0.5000 0.7005
Os1 Os 0.5000 0.5000 0.2131
```

Properties
VASP energy   -5.85 eV/atom
Formation energy   -0.333 eV/atom
Total magnetic moment   0.00 μB per cell
Excess energy over the best structure of this formula in the dataset   0.000 eV per atom

Number 2 is which compound? PuCuPt4